Entry 1:
Entry from Alexandria: PmSm3Y7 after structural relaxation (GGA-PBE).

a = 6.9635 Å, b = 5.5782 Å, c = 10.1221 Å
α = 90.00°, β = 109.96°, γ = 90.00°
Closest atoms and distances in Å follow each position.
Space group P2/m (No. 10)
Unique sites:
1 Pm 0.0000 0.0000 0.0000 x1  2 Sm 3.48, 10 Y 3.54-3.86
2 Sm 0.2820 0.5000 0.4995 x2  1 Sm 3.03, 2 Y 3.36-3.37
3 Sm 0.5000 0.0000 0.0000 x1  2 Pm 3.48, 10 Y 3.54-3.86
4 Y 0.0000 0.0000 0.5000 x1  4 Sm 3.41
5 Y 0.1443 0.5000 0.7874 x2  3 Y 3.33-3.56, 2 Sm 3.36-3.37
6 Y 0.3191 0.5000 0.1374 x2  5 Y 3.33-3.56, 2 Sm 3.54, 2 Pm 3.54
7 Y 0.4161 0.0000 0.3297 x2  3 Y 3.24-3.34, 5 Sm 3.56-3.58, 1 Pm 3.60

Computed properties:
Energy of formation   141 meV/atom
Total DFT energy (no corrections)   -5.6916 eV/atom
Total magnetization   0.00 μB/f.u.
Energy above the lowest structure with this stoichiometry   0.000 eV per atom



Entry 2:
Entry from Alexandria: Pm2Sm2Y after structural relaxation (GGA-PBE).

a = 16.3048 Å, b = 6.1753 Å, c = 6.9051 Å
α = 90.00°, β = 101.72°, γ = 90.00°
Closest atoms and distances in Å follow each position.
Space group C2/c (No. 15)
Unique sites:
1 Pm 0.1966 0.0499 0.0774 x8  3 Pm 3.32-3.51, 3 Sm 3.42-3.71, 2 Y 3.60-3.64
2 Sm 0.0964 0.4232 0.6449 x8  3 Pm 3.42-3.71, 4 Sm 3.50-3.72, 3 Y 3.57-3.64
3 Y 0.0000 0.0708 0.2500 x4  2 Y 3.56, 6 Sm 3.57-3.64, 4 Pm 3.60-3.64

Computed properties:
Energy of formation   69 meV/atom
Total DFT energy (no corrections)   -5.0114 eV/atom
Total magnetization   0.00 μB/f.u.
Energy above the lowest structure with this stoichiometry   0.000 eV per atom



Entry 3:
Entry from Alexandria: PmSmY2 after structural relaxation (GGA-PBE).

a = 6.3471 Å, b = 5.7619 Å, c = 14.6960 Å
α = 90.00°, β = 90.00°, γ = 90.00°
Closest atoms and distances in Å follow each position.
Space group Pnma (No. 62)
Unique sites:
1 Pm 0.0849 0.2500 0.0628 x4  4 Sm 3.56-3.67, 6 Y 3.58-3.69, 2 Pm 3.59
2 Sm 0.0852 0.2500 0.5628 x4  4 Pm 3.56-3.67, 6 Y 3.58-3.69, 2 Sm 3.59
3 Y 0.0817 0.2500 0.3119 x4  6 Y 3.56-3.66, 3 Sm 3.58-3.69, 3 Pm 3.65-3.69
4 Y 0.0828 0.2500 0.8117 x4  6 Y 3.56-3.66, 3 Pm 3.58-3.69, 3 Sm 3.66-3.68

Computed properties:
Energy of formation   18 meV/atom
Total DFT energy (no corrections)   -5.5816 eV/atom
Total magnetization   0.00 μB/f.u.
Energy above the lowest structure with this stoichiometry   0.006 eV per atom